[1]
Entry from the Alexandria database: crystalline Ca2PmLu at its relaxed geometry (GGA-PBE).

Cell and atoms, written as CIF:
```
data_Ca2PmLu
_symmetry_space_group_name_H-M 'P 4/m m m'
_symmetry_Int_Tables_number 123
_symmetry_space_group_name_Hall '-P 4 2'
_cell_length_a 5.064
_cell_length_b 5.064
_cell_length_c 5.565
_cell_angle_alpha 90.00
_cell_angle_beta 90.00
_cell_angle_gamma 90.00
loop_
_atom_site_label
_atom_site_fract_x
_atom_site_fract_y
_atom_site_fract_z
Ca1 0.000 0.500 0.000
Pm1 0.000 0.000 0.500
Lu1 0.500 0.500 0.500
```

ΔE_f ... 0.18 eV/atom
Magnetic moment ... 0.148 μB per atom



[2]
Entry from the Alexandria database: crystalline PaTiTc4 at its relaxed geometry (GGA-PBE).

Cell and atoms, written as CIF:
```
data_PaTiTc4
_symmetry_space_group_name_H-M 'F -4 3 m'
_symmetry_Int_Tables_number 216
_symmetry_space_group_name_Hall 'F -4 2 3'
_cell_length_a 7.476
_cell_length_b 7.476
_cell_length_c 7.476
_cell_angle_alpha 90.00
_cell_angle_beta 90.00
_cell_angle_gamma 90.00
loop_
_atom_site_label
_atom_site_fract_x
_atom_site_fract_y
_atom_site_fract_z
Pa1 0.000 0.000 0.000
Ti1 0.250 0.250 0.750
Tc1 0.124 0.124 0.376
```

ΔE_f ... -0.06 eV/atom
Magnetic moment ... 0.000 μB per atom



[3]
Entry from the Alexandria database: crystalline EuMgPd2 at its relaxed geometry (GGA-PBE).

Cell and atoms, written as CIF:
```
data_EuMgPd2
_symmetry_space_group_name_H-M 'P 4/m m m'
_symmetry_Int_Tables_number 123
_symmetry_space_group_name_Hall '-P 4 2'
_cell_length_a 3.371
_cell_length_b 3.371
_cell_length_c 6.981
_cell_angle_alpha 90.00
_cell_angle_beta 90.00
_cell_angle_gamma 90.00
loop_
_atom_site_label
_atom_site_fract_x
_atom_site_fract_y
_atom_site_fract_z
Eu1 0.000 0.000 0.000
Mg1 0.000 0.000 0.500
Pd1 0.500 0.500 0.291
```

ΔE_f ... -0.63 eV/atom
Magnetic moment ... 1.760 μB per atom



[4]
Entry from the Alexandria database: crystalline Rb2SrYC at its relaxed geometry (GGA-PBE).

Cell and atoms, written as CIF:
```
data_Rb2SrYC
_symmetry_space_group_name_H-M 'P 4/m m m'
_symmetry_Int_Tables_number 123
_symmetry_space_group_name_Hall '-P 4 2'
_cell_length_a 7.932
_cell_length_b 7.932
_cell_length_c 4.332
_cell_angle_alpha 90.00
_cell_angle_beta 90.00
_cell_angle_gamma 90.00
loop_
_atom_site_label
_atom_site_fract_x
_atom_site_fract_y
_atom_site_fract_z
Rb1 0.000 0.500 0.000
Sr1 0.000 0.000 0.500
Y1 0.500 0.500 0.000
C1 0.500 0.500 0.500
```

ΔE_f ... 0.92 eV/atom
Magnetic moment ... 0.005 μB per atom



[5]
Entry from the Alexandria database: crystalline ZnP4 at its relaxed geometry (GGA-PBE).

Cell and atoms, written as CIF:
```
data_ZnP4
_symmetry_space_group_name_H-M 'P 41 21 2'
_symmetry_Int_Tables_number 92
_symmetry_space_group_name_Hall 'P 4abw 2nw'
_cell_length_a 5.044
_cell_length_b 5.044
_cell_length_c 14.627
_cell_angle_alpha 90.00
_cell_angle_beta 90.00
_cell_angle_gamma 90.00
loop_
_atom_site_label
_atom_site_fract_x
_atom_site_fract_y
_atom_site_fract_z
Zn1 0.199 0.199 0.000
P1 0.012 0.902 0.125
P2 0.076 0.680 0.799
```

ΔE_f ... -0.08 eV/atom
Magnetic moment ... 0.000 μB per atom



[6]
Entry from the Alexandria database: crystalline Li3SmTl at its relaxed geometry (GGA-PBE).

Cell and atoms, written as CIF:
```
data_Li3SmTl
_symmetry_space_group_name_H-M 'C m m m'
_symmetry_Int_Tables_number 65
_symmetry_space_group_name_Hall '-C 2 2'
_cell_length_a 4.969
_cell_length_b 28.728
_cell_length_c 3.392
_cell_angle_alpha 90.00
_cell_angle_beta 90.00
_cell_angle_gamma 90.00
loop_
_atom_site_label
_atom_site_fract_x
_atom_site_fract_y
_atom_site_fract_z
Li1 0.000 0.046 0.000
Li2 0.000 0.225 0.500
Li3 0.000 0.442 0.500
Sm1 0.000 0.333 0.000
Tl1 0.000 0.122 0.500
```

ΔE_f ... -0.10 eV/atom
Magnetic moment ... 0.000 μB per atom



[7]
Entry from the Alexandria database: crystalline TePtSI2 at its relaxed geometry (GGA-PBE).

Cell and atoms, written as CIF:
```
data_TePtSI2
_symmetry_space_group_name_H-M 'P 4/m m m'
_symmetry_Int_Tables_number 123
_symmetry_space_group_name_Hall '-P 4 2'
_cell_length_a 5.303
_cell_length_b 5.303
_cell_length_c 5.372
_cell_angle_alpha 90.00
_cell_angle_beta 90.00
_cell_angle_gamma 90.00
loop_
_atom_site_label
_atom_site_fract_x
_atom_site_fract_y
_atom_site_fract_z
Te1 0.000 0.000 0.000
Pt1 0.500 0.500 0.000
S1 0.000 0.000 0.500
I1 0.000 0.500 0.500
```

Raw formation energy ... 1.073 eV per atom
Magnetic moment ... 0.127 μB per atom



[8]
Entry from the Alexandria database: crystalline NdTmAlZn at its relaxed geometry (GGA-PBE).

Cell and atoms, written as CIF:
```
data_NdTmAlZn
_symmetry_space_group_name_H-M 'F -4 3 m'
_symmetry_Int_Tables_number 216
_symmetry_space_group_name_Hall 'F -4 2 3'
_cell_length_a 7.264
_cell_length_b 7.264
_cell_length_c 7.264
_cell_angle_alpha 90.00
_cell_angle_beta 90.00
_cell_angle_gamma 90.00
loop_
_atom_site_label
_atom_site_fract_x
_atom_site_fract_y
_atom_site_fract_z
Nd1 0.000 0.000 0.000
Tm1 0.000 0.000 0.500
Al1 0.250 0.250 0.750
Zn1 0.250 0.250 0.250
```

ΔE_f ... -0.34 eV/atom
Magnetic moment ... 0.000 μB per atom



Please write out number 2 again, unchanged.
Entry from the Alexandria database: crystalline PaTiTc4 at its relaxed geometry (GGA-PBE).

Cell and atoms, written as CIF:
```
data_PaTiTc4
_symmetry_space_group_name_H-M 'F -4 3 m'
_symmetry_Int_Tables_number 216
_symmetry_space_group_name_Hall 'F -4 2 3'
_cell_length_a 7.476
_cell_length_b 7.476
_cell_length_c 7.476
_cell_angle_alpha 90.00
_cell_angle_beta 90.00
_cell_angle_gamma 90.00
loop_
_atom_site_label
_atom_site_fract_x
_atom_site_fract_y
_atom_site_fract_z
Pa1 0.000 0.000 0.000
Ti1 0.250 0.250 0.750
Tc1 0.124 0.124 0.376
```

ΔE_f ... -0.06 eV/atom
Magnetic moment ... 0.000 μB per atom